! Ti3B4Mo3, relaxed, DFT PBE; values from VASP
! Energy   -8.963 eV per atom
! Crystal system   orthorhombic
&SYSTEM
  ibrav = 0, nat = 10, ntyp = 3
/
ATOMIC_SPECIES
Ti 47.87 Ti.upf
B 10.81 B.upf
Mo 95.94 Mo.upf
CELL_PARAMETERS angstrom
3.167 0.000 0.000
0.000 4.227 4.263
0.000 -4.227 4.263
ATOMIC_POSITIONS crystal
Ti 0.000 0.000 0.000
Ti 0.500 0.174 0.675
Ti 0.500 0.675 0.174
B 0.500 0.068 0.283
B 0.500 0.283 0.068
B 0.500 0.567 0.567
B 0.500 0.783 0.783
Mo 0.000 0.354 0.354
Mo 0.000 0.497 0.851
Mo 0.000 0.851 0.497



! TiBMo2, relaxed, DFT PBE; values from VASP
! Energy   -8.970 eV per atom
! Crystal system   tetragonal
&SYSTEM
  ibrav = 0, nat = 16, ntyp = 3
/
ATOMIC_SPECIES
Ti 47.87 Ti.upf
B 10.81 B.upf
Mo 95.94 Mo.upf
CELL_PARAMETERS angstrom
7.189 0.000 0.000
0.000 7.189 0.000
0.000 0.000 4.518
ATOMIC_POSITIONS crystal
Ti 0.000 0.000 0.000
Ti 0.000 0.500 0.250
Ti 0.500 0.000 0.750
Ti 0.500 0.500 0.500
B 0.000 0.000 0.500
B 0.000 0.500 0.750
B 0.500 0.000 0.250
B 0.500 0.500 0.000
Mo 0.155 0.250 0.625
Mo 0.250 0.655 0.875
Mo 0.250 0.845 0.375
Mo 0.345 0.250 0.125
Mo 0.655 0.750 0.125
Mo 0.750 0.155 0.375
Mo 0.750 0.345 0.875
Mo 0.845 0.750 0.625



Which of these has the highest energy?
Ti3B4Mo3